The following is a DFT calculation (PBE-GGA) of an optimized crystal structure of Cd2Rh2Br.

Space-group type: I4/mmm (139)
DFT total energy: -3.20 eV/atom
Excess energy over the best structure of this formula in the dataset: 315 meV per atom
DOS at the Fermi energy: 6.11 states/eV per cell
Total magnetic moment: 1.777 μB per formula unit

abc: 4.111 4.111 6.863
angles: 72.57 72.57 90.00
Site moments in Bohr magnetons follow the coordinates.
Fractional coordinates of all 5 atoms:
Cd (0.750, 0.250, 0.500)  0.00
Cd (0.250, 0.750, 0.500)  0.00
Rh (0.602, 0.602, 0.797)  0.75
Rh (0.398, 0.398, 0.203)  0.75
Br (0.000, 0.000, 0.000)  0.13

---

The following is a DFT calculation (PBE-GGA) of an optimized crystal structure of CdRh2Br.

Space-group type: Cm (8)
DFT total energy: -3.97 eV/atom
Excess energy over the best structure of this formula in the dataset: 218 meV per atom
DOS at the Fermi energy: 4.47 states/eV per cell
Total magnetic moment: 0.000 μB per formula unit

abc: 5.480 5.480 4.717
angles: 71.34 71.34 32.35
Fractional coordinates of all 4 atoms:
Cd (0.245, 0.245, 0.248)
Br (0.468, 0.468, 0.556)
Rh (0.760, 0.760, 0.744)
Rh (0.026, 0.026, 0.952)

---

The following is a DFT calculation (PBE-GGA) of an optimized crystal structure of CdRhBr2.

Space-group type: P4mm (99)
DFT total energy: -2.87 eV/atom
Excess energy over the best structure of this formula in the dataset: 269 meV per atom
DOS at the Fermi energy: 2.56 states/eV per cell
Total magnetic moment: 1.333 μB per formula unit

abc: 3.388 3.388 8.301
angles: 90.00 90.00 90.00
Site moments in Bohr magnetons follow the coordinates.
Fractional coordinates of all 4 atoms:
Br (0.500, 0.500, 0.320)  -0.01
Br (0.000, 0.000, 0.908)  0.28
Rh (0.500, 0.500, 0.745)  0.98
Cd (0.000, 0.000, 0.528)  -0.01

---

The following is a DFT calculation (PBE-GGA) of an optimized crystal structure of CdRh3Br.

Space-group type: Pm-3m (221)
DFT total energy: -4.16 eV/atom
Excess energy over the best structure of this formula in the dataset: 0 meV per atom
DOS at the Fermi energy: 5.25 states/eV per cell
Total magnetic moment: 0.000 μB per formula unit

abc: 4.609 4.609 4.609
angles: 90.00 90.00 90.00
Fractional coordinates of all 5 atoms:
Rh (0.500, 0.000, 0.000)
Rh (0.000, 0.500, 0.000)
Rh (0.000, 0.000, 0.500)
Cd (0.500, 0.500, 0.500)
Br (0.000, 0.000, 0.000)

---

The following is a DFT calculation (PBE-GGA) of an optimized crystal structure of CdRh2Br.

Space-group type: Pm (6)
DFT total energy: -4.19 eV/atom
Excess energy over the best structure of this formula in the dataset: 0 meV per atom
DOS at the Fermi energy: 5.70 states/eV per cell
Total magnetic moment: 0.049 μB per formula unit

abc: 3.465 3.040 8.015
angles: 67.45 90.00 90.00
Fractional coordinates of all 4 atoms:
Rh (0.000, 0.098, 0.028)
Rh (0.500, 0.421, 0.203)
Br (0.000, 0.157, 0.463)
Cd (0.500, 0.824, 0.805)

---

The following is a DFT calculation (PBE-GGA) of an optimized crystal structure of CdRh2Br.

Space-group type: Pmmm (47)
DFT total energy: -3.91 eV/atom
Excess energy over the best structure of this formula in the dataset: 277 meV per atom
DOS at the Fermi energy: 4.01 states/eV per cell
Total magnetic moment: 0.000 μB per formula unit

abc: 3.049 5.105 4.552
angles: 90.00 90.00 90.00
Fractional coordinates of all 4 atoms:
Rh (0.000, 0.000, 0.000)
Rh (0.500, 0.500, 0.000)
Cd (0.000, 0.500, 0.500)
Br (0.500, 0.000, 0.500)

---

The following is a DFT calculation (PBE-GGA) of an optimized crystal structure of Cd2RhBr.

Space-group type: Pmm2 (25)
DFT total energy: -2.67 eV/atom
Excess energy over the best structure of this formula in the dataset: 217 meV per atom
DOS at the Fermi energy: 1.56 states/eV per cell
Total magnetic moment: 0.000 μB per formula unit

abc: 3.692 3.746 6.898
angles: 90.00 90.00 90.00
Fractional coordinates of all 4 atoms:
Cd (0.500, 0.500, 0.304)
Cd (0.000, 0.000, 0.012)
Br (0.500, 0.500, 0.792)
Rh (0.000, 0.000, 0.392)

---

The following is a DFT calculation (PBE-GGA) of an optimized crystal structure of Cd2RhBr.

Space-group type: R-3m (166)
DFT total energy: -2.75 eV/atom
Excess energy over the best structure of this formula in the dataset: 138 meV per atom
DOS at the Fermi energy: 2.67 states/eV per cell
Total magnetic moment: 0.000 μB per formula unit

abc: 8.567 8.567 8.567
angles: 23.54 23.54 23.54
Fractional coordinates of all 4 atoms:
Cd (0.508, 0.508, 0.508)
Cd (0.992, 0.992, 0.992)
Br (0.750, 0.750, 0.750)
Rh (0.250, 0.250, 0.250)

---

The following is a DFT calculation (PBE-GGA) of an optimized crystal structure of CdRh2Br.

Space-group type: C2/m (12)
DFT total energy: -3.96 eV/atom
Excess energy over the best structure of this formula in the dataset: 235 meV per atom
DOS at the Fermi energy: 4.98 states/eV per cell
Total magnetic moment: 0.001 μB per formula unit

abc: 4.707 4.707 5.233
angles: 77.49 77.49 38.14
Fractional coordinates of all 4 atoms:
Cd (0.250, 0.250, 0.250)
Br (0.750, 0.750, 0.750)
Rh (0.004, 0.004, 0.989)
Rh (0.496, 0.496, 0.511)

---

The following is a DFT calculation (PBE-GGA) of an optimized crystal structure of CdRhBr2.

Space-group type: Cmmm (65)
DFT total energy: -2.83 eV/atom
Excess energy over the best structure of this formula in the dataset: 309 meV per atom
DOS at the Fermi energy: 4.13 states/eV per cell
Total magnetic moment: 0.680 μB per formula unit

abc: 3.686 3.686 9.439
angles: 90.00 90.00 122.29
Site moments in Bohr magnetons follow the coordinates.
Fractional coordinates of all 4 atoms:
Cd (0.500, 0.500, 0.250)  -0.01
Br (0.000, 0.000, 0.934)  0.03
Br (0.000, 0.000, 0.566)  0.03
Rh (0.500, 0.500, 0.750)  0.58

---

The following is a DFT calculation (PBE-GGA) of an optimized crystal structure of CdRhBr3.

Space-group type: Pm-3m (221)
DFT total energy: -2.76 eV/atom
Excess energy over the best structure of this formula in the dataset: 0 meV per atom
DOS at the Fermi energy: 2.82 states/eV per cell
Total magnetic moment: 0.000 μB per formula unit

abc: 5.093 5.093 5.093
angles: 90.00 90.00 90.00
Fractional coordinates of all 5 atoms:
Br (0.000, 0.500, 0.000)
Br (0.000, 0.000, 0.500)
Br (0.500, 0.000, 0.000)
Cd (0.500, 0.500, 0.500)
Rh (0.000, 0.000, 0.000)

---

The following is a DFT calculation (PBE-GGA) of an optimized crystal structure of CdRh2Br.

Space-group type: P4/mmm (123)
DFT total energy: -3.94 eV/atom
Excess energy over the best structure of this formula in the dataset: 251 meV per atom
DOS at the Fermi energy: 4.70 states/eV per cell
Total magnetic moment: 0.006 μB per formula unit

abc: 3.138 4.676 4.676
angles: 90.00 90.00 90.00
Fractional coordinates of all 4 atoms:
Br (0.500, 0.500, 0.000)
Rh (0.000, 0.000, 0.000)
Rh (0.000, 0.500, 0.500)
Cd (0.500, 0.000, 0.500)

---

What did the first record say?
The following is a DFT calculation (PBE-GGA) of an optimized crystal structure of Cd2Rh2Br.

Space-group type: I4/mmm (139)
DFT total energy: -3.20 eV/atom
Excess energy over the best structure of this formula in the dataset: 315 meV per atom
DOS at the Fermi energy: 6.11 states/eV per cell
Total magnetic moment: 1.777 μB per formula unit

abc: 4.111 4.111 6.863
angles: 72.57 72.57 90.00
Site moments in Bohr magnetons follow the coordinates.
Fractional coordinates of all 5 atoms:
Cd (0.750, 0.250, 0.500)  0.00
Cd (0.250, 0.750, 0.500)  0.00
Rh (0.602, 0.602, 0.797)  0.75
Rh (0.398, 0.398, 0.203)  0.75
Br (0.000, 0.000, 0.000)  0.13